Entry 1:
This record from Alexandria describes a relaxed TbCe2Mg2Sn2 crystal. The functional is PBE-GGA.

Unit cell a=4.8193 b=4.8193 c=27.1380 alpha=90.00 beta=90.00 gamma=120.00
Space group R-3m (No. 166, hexagonal axes)
Symmetry-distinct sites (fractional):
Tb 0.0000 0.0000 0.0000 x3
Ce 0.0000 0.0000 0.1424 x6
Mg 0.0000 0.0000 0.4107 x6
Sn 0.0000 0.0000 0.2689 x6

Calculated values
ΔH_f (0 K) ... -0.29 eV/atom
M_tot ... 8.44 μB/cell


Entry 2:
This record from Alexandria describes a relaxed Na2Hg2Pd3 crystal. The functional is PBE-GGA.

Unit cell a=8.304 b=8.304 c=8.304 alpha=90.00 beta=90.00 gamma=90.00
Space group I2_13 (No. 199)
Symmetry-distinct sites (fractional):
Na 0.173 0.327 0.673 x8
Hg 0.025 0.025 0.025 x8
Pd 0.000 0.250 0.274 x12

Calculated values
ΔH_f (0 K) ... -0.11 eV/atom
M_tot ... 0.00 μB/cell
Relative energy among the computed polymorphs ... 0.087 eV per atom